Entry 1:
Below is a relaxed structure of Rb2ZnCd3In4, with properties calculated at the PBE level.

```
10
Lattice="-0.376 -3.878 2.953 3.956 1.487 2.457 -7.427 6.728 7.887" Properties=species:S:1:pos:R:3 pbc="T T T"
In 0.000 0.000 0.000
In -4.819 2.256 6.394
In -0.818 3.277 4.198
In 1.790 -1.195 2.705
Cd 0.913 1.708 2.359
Cd -3.713 3.364 3.944
Cd -6.550 3.825 8.233
Rb -2.091 -0.215 3.498
Rb -3.546 5.747 7.094
Zn -1.923 2.169 6.648
```

Raw total energy ... -17.4 eV/cell
Space-group type ... P-4m2 (115)



Entry 2:
Below is a relaxed structure of Cd4InRe, with properties calculated at the PBE level.

```
6
Lattice="2.849 1.761 4.481 -1.262 -1.986 5.075 3.535 -3.465 2.606" Properties=species:S:1:pos:R:3 pbc="T T T"
Cd 1.281 -2.380 7.105
Cd 3.696 -3.124 5.863
Cd 3.351 -0.494 6.806
Cd 1.917 -1.380 4.551
Re 0.000 0.000 0.000
In 3.842 -2.767 9.122
```

Raw total energy ... -14.5 eV/cell
Space-group type ... F-43m (216)